Compound: CsNpGeS4
Source: Alexandria via LeMat-Bulk
Functional: PBE
Structure: relaxed

Computed properties:
space-group type	P2_1/m, No. 11

The structure in POSCAR format:
```
CsNpGeS4
1.0
7.0358 0.0000 -1.2901
0.0000 7.1117 0.0000
-4.4370 0.0000 9.4555
Cs Np Ge S
2 2 2 8
direct
0.6058 0.7500 0.9190 Cs
0.3942 0.2500 0.0810 Cs
0.8157 0.7500 0.4558 Np
0.1843 0.2500 0.5442 Np
0.2205 0.7500 0.3138 Ge
0.7795 0.2500 0.6862 Ge
0.0557 0.4892 0.6782 S
0.9443 0.9892 0.3218 S
0.9443 0.5108 0.3218 S
0.0557 0.0108 0.6782 S
0.4162 0.7500 0.1863 S
0.5838 0.2500 0.8137 S
0.5566 0.7500 0.5589 S
0.4434 0.2500 0.4411 S
```

Compound: Cs2NpGe2S6
Source: Alexandria via LeMat-Bulk
Functional: PBE
Structure: relaxed

Computed properties:
space-group type	R-3m, No. 166

The structure in POSCAR format:
```
Cs2NpGe2S6
1.0
-6.3239 -3.4917 1.6994
-0.0695 -5.1689 5.3244
-3.5418 1.9391 7.0078
Cs Np Ge S
2 1 2 6
direct
0.7654 0.7654 0.7038 Cs
0.2346 0.2346 0.2962 Cs
0.0000 0.0000 0.0000 Np
0.4391 0.4391 0.6827 Ge
0.5609 0.5609 0.3173 Ge
0.7572 0.7572 0.2353 S
0.2502 0.7572 0.2353 S
0.7572 0.2502 0.2353 S
0.2428 0.7498 0.7647 S
0.7498 0.2428 0.7647 S
0.2428 0.2428 0.7647 S
```

Compound: Cs2Np3GeS8
Source: Alexandria via LeMat-Bulk
Functional: PBE
Structure: relaxed

Computed properties:
space-group type	R3m, No. 160

The structure in POSCAR format:
```
Cs2Np3GeS8
1.0
-1.0801 1.4243 -7.8205
-4.0376 -5.2601 -4.5149
-8.9621 2.7943 -2.3678
Cs Np Ge S
2 3 1 8
direct
0.1372 0.1372 0.5884 Cs
0.4961 0.4961 0.5116 Cs
0.4942 0.0021 0.0095 Np
0.0021 0.4942 0.0095 Np
0.4942 0.4942 0.0095 Np
0.9037 0.9037 0.2888 Ge
0.2730 0.2730 0.1811 S
0.7152 0.7152 0.8543 S
0.2353 0.2353 0.8437 S
0.6857 0.2353 0.8437 S
0.2353 0.6857 0.8437 S
0.7773 0.2660 0.1795 S
0.2660 0.7773 0.1795 S
0.7773 0.7773 0.1795 S
```

| no. | formation energy without anion corrections (kJ per mole of atoms) |
| --- | --- |
| 1 | -85.6 |
| 2 | -83.8 |
| 3 | -109.0 |